{"formula": "VInGeO5", "functional": "GGA+U", "state": "relaxed", "e_tot_ev_per_atom": -6.535, "magnetic_moment_mub_per_cell": 4.000, "lattice": [[5.4717, 0.0911, -0.0928], [-1.5101, 5.2599, -0.0928], [-1.7514, -2.3657, 7.2786]], "species": ["O", "O", "O", "O", "O", "O", "O", "O", "O", "O", "In", "In", "V", "V", "Ge", "Ge"], "fractional_positions": [[0.1234, 0.8766, 0.2500], [0.9596, 0.3510, 0.1727], [0.3843, 0.3122, 0.0862], [0.3510, 0.9596, 0.6727], [0.6157, 0.6878, 0.9138], [0.6490, 0.0404, 0.3273], [0.0404, 0.6490, 0.8273], [0.3122, 0.3843, 0.5862], [0.6878, 0.6157, 0.4138], [0.8766, 0.1234, 0.7500], [0.0000, 0.0000, 0.5000], [0.0000, 0.0000, 0.0000], [0.6651, 0.3349, 0.7500], [0.3349, 0.6651, 0.2500], [0.3215, 0.6785, 0.7500], [0.6785, 0.3215, 0.2500]]}